Entry 1:
6
Lattice="4.559 0.000 0.000 0.000 4.559 0.000 0.000 0.000 9.316" Properties=species:S:1:pos:R:3 comment="PBE Th2Bi3Pb, relaxed" sg="No. 115" formation_enthalpy_0k_mev_per_atom=-467 magnetic_moment_mub_per_atom=0.000 e_tot_ev_per_atom=-5.499 pbc="T T T"
Bi 2.279 0.000 3.327
Bi 0.000 0.000 0.000
Bi 0.000 2.279 5.989
Pb 2.279 2.279 0.000
Th 0.000 2.279 2.633
Th 2.279 0.000 6.683

Entry 2:
6
Lattice="5.421 0.000 0.000 2.710 4.695 0.000 2.710 1.565 4.426" Properties=species:S:1:pos:R:3 comment="PBE LaBiRh4, relaxed" sg="No. 216" formation_enthalpy_0k_mev_per_atom=-362 magnetic_moment_mub_per_atom=0.000 e_tot_ev_per_atom=-6.731 pbc="T T T"
Rh 4.055 3.918 2.771
Rh 6.786 3.918 2.771
Rh 5.421 1.553 2.771
Rh 5.421 3.130 0.541
Bi 0.000 0.000 0.000
La 2.710 1.565 1.107